1.
Below is an optimized crystal structure of TmLuCuS3, with properties calculated at the PBE level.

Values from the calculation:
Final energy, eV per atom: -5.67
Calculated volume, Å³ per atom: 18.9

CIF file:
```
data_TmLuCuS3
_chemical_formula_sum 'Tm2 Lu2 Cu2 S6'
_cell_length_a 6.4856
_cell_length_b 6.4856
_cell_length_c 9.9047
_cell_angle_alpha 90.00
_cell_angle_beta 90.00
_cell_angle_gamma 146.94
_space_group_name_H-M_alt 'P 1'
_space_group_IT_number 1
_space_group_name_Hall 'P 1'
loop_
_atom_site_label
_atom_site_type_symbol
_atom_site_fract_x
_atom_site_fract_y
_atom_site_fract_z
_atom_site_occupancy
S1 S 0.8564 0.1436 0.0762 1
S2 S 0.3996 0.6004 0.7500 1
S3 S 0.1436 0.8564 0.5762 1
S4 S 0.8564 0.1436 0.4238 1
S5 S 0.1436 0.8564 0.9238 1
S6 S 0.6004 0.3996 0.2500 1
Cu1 Cu 0.0176 0.9824 0.7500 1
Cu2 Cu 0.9824 0.0176 0.2500 1
Tm1 Tm 0.7286 0.2714 0.7500 1
Tm2 Tm 0.2714 0.7286 0.2500 1
Lu1 Lu 0.5000 0.5000 0.5000 1
Lu2 Lu 0.5000 0.5000 0.0000 1
```

---

2.
Below is an optimized crystal structure of NiHgOsPb, with properties calculated at the PBE level.

Values from the calculation:
Final energy, eV per atom: -4.18
Calculated volume, Å³ per atom: 18.4

CIF file:
```
data_NiHgOsPb
_chemical_formula_sum 'Ni1 Hg1 Os1 Pb1'
_cell_length_a 4.7074
_cell_length_b 4.7074
_cell_length_c 4.7074
_cell_angle_alpha 60.00
_cell_angle_beta 60.00
_cell_angle_gamma 60.00
_space_group_name_H-M_alt 'P 1'
_space_group_IT_number 1
_space_group_name_Hall 'P 1'
loop_
_atom_site_label
_atom_site_type_symbol
_atom_site_fract_x
_atom_site_fract_y
_atom_site_fract_z
_atom_site_occupancy
Pb1 Pb 0.0000 0.0000 0.0000 1
Hg1 Hg 0.2500 0.2500 0.2500 1
Ni1 Ni 0.7500 0.7500 0.7500 1
Os1 Os 0.5000 0.5000 0.5000 1
```

---

3.
Below is an optimized crystal structure of Pr2Ag2TeSeO2, with properties calculated at the PBE level.

Values from the calculation:
Final energy, eV per atom: -5.82
Calculated volume, Å³ per atom: 20.7

CIF file:
```
data_Pr2Ag2TeSeO2
_chemical_formula_sum 'Pr2 Ag2 Te1 Se1 O2'
_cell_length_a 4.1522
_cell_length_b 4.1522
_cell_length_c 9.5885
_cell_angle_alpha 90.00
_cell_angle_beta 90.00
_cell_angle_gamma 90.00
_space_group_name_H-M_alt 'P 1'
_space_group_IT_number 1
_space_group_name_Hall 'P 1'
loop_
_atom_site_label
_atom_site_type_symbol
_atom_site_fract_x
_atom_site_fract_y
_atom_site_fract_z
_atom_site_occupancy
Pr1 Pr 0.5000 0.5000 0.1315 1
Pr2 Pr 0.0000 0.0000 0.8876 1
Se1 Se 0.0000 0.0000 0.2942 1
Ag1 Ag 0.0000 0.5000 0.4865 1
Ag2 Ag 0.5000 0.0000 0.4865 1
O1 O 0.0000 0.5000 0.0084 1
O2 O 0.5000 0.0000 0.0084 1
Te1 Te 0.5000 0.5000 0.6970 1
```

---

4.
Below is an optimized crystal structure of Ta4PbSN2, with properties calculated at the PBE level.

Values from the calculation:
Final energy, eV per atom: -9.41
Calculated volume, Å³ per atom: 15.0

CIF file:
```
data_Ta4PbSN2
_chemical_formula_sum 'Ta4 Pb1 S1 N2'
_cell_length_a 3.3282
_cell_length_b 3.3282
_cell_length_c 12.5288
_cell_angle_alpha 90.00
_cell_angle_beta 90.00
_cell_angle_gamma 120.00
_space_group_name_H-M_alt 'P 1'
_space_group_IT_number 1
_space_group_name_Hall 'P 1'
loop_
_atom_site_label
_atom_site_type_symbol
_atom_site_fract_x
_atom_site_fract_y
_atom_site_fract_z
_atom_site_occupancy
Ta1 Ta 0.6667 0.3333 0.8085 1
Ta2 Ta 0.0000 0.0000 0.3588 1
Ta3 Ta 0.6667 0.3333 0.1915 1
Ta4 Ta 0.0000 0.0000 0.6412 1
S1 S 0.6667 0.3333 0.5000 1
Pb1 Pb 0.0000 0.0000 0.0000 1
N1 N 0.3333 0.6667 0.2690 1
N2 N 0.3333 0.6667 0.7310 1
```

---

5.
Below is an optimized crystal structure of GdBiNO, with properties calculated at the PBE level.

Values from the calculation:
Calculated volume, Å³ per atom: 20.5
Distance to the lowest polymorph of the same formula, kcal/mol of atoms: 1.97

CIF file:
```
data_GdBiNO
_chemical_formula_sum 'Gd2 Bi2 N2 O2'
_cell_length_a 3.8573
_cell_length_b 6.4527
_cell_length_c 6.5931
_cell_angle_alpha 90.00
_cell_angle_beta 90.00
_cell_angle_gamma 90.00
_space_group_name_H-M_alt 'P 1'
_space_group_IT_number 1
_space_group_name_Hall 'P 1'
loop_
_atom_site_label
_atom_site_type_symbol
_atom_site_fract_x
_atom_site_fract_y
_atom_site_fract_z
_atom_site_occupancy
N1 N 0.0000 0.4136 0.6289 1
N2 N 0.0000 0.9136 0.3711 1
Gd1 Gd 0.5000 0.9898 0.1919 1
Gd2 Gd 0.5000 0.4898 0.8081 1
O1 O 0.5000 0.7936 0.9327 1
O2 O 0.5000 0.2936 0.0673 1
Bi1 Bi 0.0000 0.0571 0.6753 1
Bi2 Bi 0.0000 0.5571 0.3247 1
```

---

6.
Below is an optimized crystal structure of ErPaCd, with properties calculated at the PBE level.

Values from the calculation:
Calculated volume, Å³ per atom: 29.0
E_form, eV/atom: 0.91
Distance to the lowest polymorph of the same formula, kcal/mol of atoms: 0.00

CIF file:
```
data_ErPaCd
_chemical_formula_sum 'Er1 Pa1 Cd1'
_cell_length_a 4.9709
_cell_length_b 4.9709
_cell_length_c 4.9709
_cell_angle_alpha 60.00
_cell_angle_beta 60.00
_cell_angle_gamma 60.00
_space_group_name_H-M_alt 'P 1'
_space_group_IT_number 1
_space_group_name_Hall 'P 1'
loop_
_atom_site_label
_atom_site_type_symbol
_atom_site_fract_x
_atom_site_fract_y
_atom_site_fract_z
_atom_site_occupancy
Er1 Er 0.0000 0.0000 0.0000 1
Cd1 Cd 0.2500 0.2500 0.2500 1
Pa1 Pa 0.7500 0.7500 0.7500 1
```